(1)
DFT (GGA-PBE) results for a relaxed structure of AgMoRhC2.

As for the space-group type: P4/mmm. The calculation puts the energy at -6.16 eV per atom.

a = 4.0513 Å, b = 4.0513 Å, c = 4.9328 Å
α = 90.00°, β = 90.00°, γ = 90.00°
Last column: nearest neighbours and their distance in Å.
Sites, in units of the cell vectors:
Ag 0.0000 0.0000 0.0000  4 Rh 2.86, 8 C 3.19
Mo 0.5000 0.5000 0.5000  4 C 2.03
Rh 0.5000 0.5000 0.0000  2 Mo 2.47
C 0.0000 0.5000 0.5000  2 Mo 2.03
C 0.5000 0.0000 0.5000  2 Mo 2.03

***

(2)
DFT (GGA-PBE) results for a relaxed structure of Cs2HoCl5.

As for the space-group type: Cmcm. The calculation puts the energy relative to the lowest polymorph listed for this composition at 0.0499 eV/atom. The formation energy from raw total energies is -2.16 eV per atom.

a = 9.2506 Å, b = 9.2506 Å, c = 15.2108 Å
α = 90.00°, β = 90.00°, γ = 145.97°
Last column: nearest neighbours and their distance in Å.
Sites, in units of the cell vectors:
Cs 0.1393 0.8608 0.5682  5 Cl 3.40-3.57
Cs 0.1393 0.8608 0.9318  5 Cl 3.40-3.57
Cs 0.8608 0.1393 0.0682  5 Cl 3.40-3.57
Cs 0.8608 0.1393 0.4318  5 Cl 3.40-3.57
Ho 0.1498 0.8502 0.2500  6 Cl 2.59-2.72
Ho 0.8502 0.1498 0.7500  6 Cl 2.59-2.72
Cl 0.0466 0.9534 0.1291  1 Ho 2.59
Cl 0.0466 0.9534 0.3709  1 Ho 2.59
Cl 0.2549 0.7451 0.1244  1 Ho 2.67
Cl 0.2549 0.7451 0.3756  1 Ho 2.67
Cl 0.3378 0.6622 0.7500  2 Ho 2.72
Cl 0.6622 0.3378 0.2500  2 Ho 2.72
Cl 0.7451 0.2549 0.6244  1 Ho 2.67
Cl 0.7451 0.2549 0.8756  1 Ho 2.67
Cl 0.9534 0.0466 0.6291  1 Ho 2.59
Cl 0.9534 0.0466 0.8709  1 Ho 2.59

***

(3)
DFT (GGA-PBE) results for a relaxed structure of PrHoHgRu.

As for the space-group type: P4mm. The calculation puts the energy relative to the lowest polymorph listed for this composition at 0.0000 eV/atom.

a = 3.5306 Å, b = 3.5306 Å, c = 7.6901 Å
α = 90.00°, β = 90.00°, γ = 90.00°
Last column: nearest neighbours and their distance in Å.
Sites, in units of the cell vectors:
Pr 0.0000 0.0000 0.0000  4 Ru 3.08, 1 Ho 3.39, 4 Hg 3.40
Ho 0.0000 0.0000 0.5593  4 Ru 2.95, 4 Hg 3.20
Hg 0.5000 0.5000 0.2997  4 Ho 3.20, 4 Pr 3.40, 4 Hg 3.53, 1 Ru 3.58
Ru 0.5000 0.5000 0.7646  4 Ho 2.95, 4 Pr 3.08

***

(4)
DFT (GGA-PBE) results for a relaxed structure of PuGa2O8.

As for the space-group type: P1. The formation energy from raw total energies is -1.38 eV per atom.

a = 3.4226 Å, b = 7.1503 Å, c = 7.3366 Å
α = 106.77°, β = 92.14°, γ = 98.71°
Last column: nearest neighbours and their distance in Å.
Sites, in units of the cell vectors:
Pu 0.0000 0.0000 0.0000  2 O 1.78-1.85
Ga 0.5897 0.3940 0.7891  3 O 1.82-1.85
Ga 0.7949 0.6725 0.4822  3 O 1.83-1.86
O 0.0356 0.0790 0.2540  1 Pu 1.78
O 0.0715 0.3196 0.8336  2 Ga 1.84-1.85
O 0.2963 0.7062 0.3993  2 Ga 1.85-1.86
O 0.4249 0.7938 0.9917  1 O 1.36
O 0.5326 0.1742 0.0142  2 Pu 2.03-2.16
O 0.6550 0.4571 0.5673  2 Ga 1.82-1.83
O 0.6894 0.6747 0.0086  1 O 1.36
O 0.9280 0.9000 0.7372  1 Pu 1.85

***

(5)
DFT (GGA-PBE) results for a relaxed structure of Sm6Dy8Cd.

As for the space-group type: P-3. The calculation puts the energy at -4.32 eV per atom.

a = 9.4555 Å, b = 9.4555 Å, c = 6.2957 Å
α = 90.00°, β = 90.00°, γ = 120.00°
Last column: nearest neighbours and their distance in Å.
Sites, in units of the cell vectors:
Sm 0.0913 0.6373 0.3119  1 Sm 3.29, 6 Dy 3.40-3.67
Sm 0.3627 0.4541 0.3119  1 Sm 3.29, 6 Dy 3.40-3.67
Sm 0.4541 0.0913 0.6881  1 Sm 3.29, 6 Dy 3.40-3.67
Sm 0.5459 0.9087 0.3119  1 Sm 3.29, 6 Dy 3.40-3.67
Sm 0.6373 0.5459 0.6881  1 Sm 3.29, 6 Dy 3.40-3.67
Sm 0.9087 0.3627 0.6881  1 Sm 3.29, 6 Dy 3.40-3.67
Dy 0.0405 0.7777 0.8083  1 Cd 3.02, 2 Dy 3.35
Dy 0.2223 0.2628 0.8083  1 Cd 3.02, 2 Dy 3.35
Dy 0.2628 0.0405 0.1917  1 Cd 3.02, 2 Dy 3.35
Dy 0.3333 0.6667 0.8172  3 Dy 3.42, 6 Sm 3.67-3.79
Dy 0.6667 0.3333 0.1828  3 Dy 3.42, 6 Sm 3.67-3.79
Dy 0.7372 0.9595 0.8083  1 Cd 3.02, 2 Dy 3.35
Dy 0.7777 0.7372 0.1917  1 Cd 3.02, 2 Dy 3.35
Dy 0.9595 0.2223 0.1917  1 Cd 3.02, 2 Dy 3.35
Cd 0.0000 0.0000 0.5000  6 Dy 3.02

***

(6)
DFT (GGA-PBE) results for a relaxed structure of Li2Mg5Ag4.

As for the space-group type: C2/m. The calculation puts the energy relative to the lowest polymorph listed for this composition at 0.0000 eV/atom.

a = 5.5673 Å, b = 5.5673 Å, c = 8.7220 Å
α = 94.90°, β = 94.90°, γ = 49.52°
Last column: nearest neighbours and their distance in Å.
Sites, in units of the cell vectors:
Li 0.0776 0.0776 0.1454  3 Ag 2.73-2.75, 1 Li 2.86, 4 Mg 2.93-3.04
Li 0.9224 0.9224 0.8546  3 Ag 2.73-2.75, 1 Li 2.86, 4 Mg 2.93-3.04
Mg 0.0000 0.0000 0.5000  6 Ag 2.87-2.95, 2 Mg 3.13
Mg 0.2889 0.2889 0.3996  4 Ag 2.83-2.87, 1 Li 2.93, 3 Mg 3.06-3.13
Mg 0.3570 0.3570 0.0444  4 Ag 2.81-2.90, 3 Li 2.97-3.04, 1 Mg 3.06
Mg 0.6430 0.6430 0.9556  4 Ag 2.81-2.90, 3 Li 2.97-3.04, 1 Mg 3.06
Mg 0.7111 0.7111 0.6004  4 Ag 2.83-2.87, 1 Li 2.93, 3 Mg 3.06-3.13
Ag 0.1782 0.1782 0.7770  1 Li 2.73, 6 Mg 2.81-2.87, 1 Ag 2.87
Ag 0.4460 0.4460 0.6916  2 Li 2.75, 5 Mg 2.87-2.95, 1 Ag 2.87
Ag 0.5540 0.5540 0.3084  2 Li 2.75, 5 Mg 2.87-2.95, 1 Ag 2.87
Ag 0.8218 0.8218 0.2230  1 Li 2.73, 6 Mg 2.81-2.87, 1 Ag 2.87

***

no.,DOS(E_F) (states/eV/f.u.)
1,6.78
2,0.00
3,3.48
4,5.57
5,18.17
6,3.27